No. 1
Computed, not measured: Ba2Ge3Pd12Au after structural relaxation at the GGA-PBE level of DFT.

Structure (POSCAR):
```
Ba2Ge3Pd12Au
1.0
-3.401 7.164 -0.894
-6.661 0.085 -4.394
-6.765 1.095 4.089
Ge Pd Au Ba
3 12 1 2
direct
0.000 0.500 0.000
0.500 0.000 0.000
0.000 0.000 0.500
0.094 0.650 0.650
0.380 0.870 0.870
0.870 0.870 0.380
0.350 0.350 0.906
0.650 0.650 0.094
0.350 0.906 0.350
0.620 0.130 0.130
0.130 0.620 0.130
0.650 0.094 0.650
0.130 0.130 0.620
0.870 0.380 0.870
0.906 0.350 0.350
0.000 0.000 0.000
0.388 0.388 0.388
0.612 0.612 0.612
```

Output
SG ... No. 166
Uncorrected energy ... -4.77 eV/atom
Fermi-level density of states ... 0.38 states/eV per atom
E_form ... -140 meV/atom

---

No. 2
Computed, not measured: Ba2PmGe3Au12 after structural relaxation at the GGA-PBE level of DFT.

Structure (POSCAR):
```
Ba2PmGe3Au12
1.0
8.598 -0.310 -0.220
3.977 7.630 -0.220
3.977 2.315 7.273
Ge Au Pm Ba
3 12 1 2
direct
0.500 0.000 0.000
0.000 0.500 0.000
0.000 0.000 0.500
0.134 0.612 0.134
0.134 0.134 0.612
0.854 0.321 0.321
0.388 0.866 0.866
0.146 0.679 0.679
0.866 0.866 0.388
0.612 0.134 0.134
0.321 0.321 0.854
0.321 0.854 0.321
0.866 0.388 0.866
0.679 0.679 0.146
0.679 0.146 0.679
0.000 0.000 0.000
0.604 0.604 0.604
0.396 0.396 0.396
```

Output
SG ... No. 166
Uncorrected energy ... -3.59 eV/atom
Fermi-level density of states ... 0.32 states/eV per atom
E_form ... -162 meV/atom

---

No. 3
Computed, not measured: BaPmGeAu after structural relaxation at the GGA-PBE level of DFT.

Structure (POSCAR):
```
BaPmGeAu
1.0
5.460 0.000 0.000
2.730 4.728 0.000
2.730 1.576 4.458
Ge Ba Pm Au
1 1 1 1
direct
0.250 0.250 0.250
0.500 0.500 0.500
0.000 0.000 0.000
0.750 0.750 0.750
```

Output
SG ... No. 216
Uncorrected energy ... -4.21 eV/atom
Fermi-level density of states ... 0.28 states/eV per atom
E_form ... -567 meV/atom

---

No. 4
Computed, not measured: Ba2PrGe3Au12 after structural relaxation at the GGA-PBE level of DFT.

Structure (POSCAR):
```
Ba2PrGe3Au12
1.0
8.638 -0.282 -0.200
4.020 7.650 -0.200
4.020 2.340 7.286
Au Ba Ge Pr
12 2 3 1
direct
0.680 0.680 0.145
0.320 0.855 0.320
0.855 0.320 0.320
0.606 0.136 0.136
0.320 0.320 0.855
0.864 0.394 0.864
0.136 0.136 0.606
0.864 0.864 0.394
0.145 0.680 0.680
0.136 0.606 0.136
0.680 0.145 0.680
0.394 0.864 0.864
0.397 0.397 0.397
0.603 0.603 0.603
0.000 0.000 0.500
0.500 0.000 0.000
0.000 0.500 0.000
0.000 0.000 0.000
```

Output
SG ... No. 166
Uncorrected energy ... -3.59 eV/atom
Fermi-level density of states ... 0.32 states/eV per atom
E_form ... -160 meV/atom

---

No. 5
Computed, not measured: BaPrGe2Au2 after structural relaxation at the GGA-PBE level of DFT.

Structure (POSCAR):
```
BaPrGe2Au2
1.0
-4.118 -0.562 1.804
0.735 -1.062 -4.343
2.165 -8.228 2.378
Au Ba Ge Pr
2 1 2 1
direct
0.333 0.667 0.275
0.667 0.333 0.725
0.000 0.000 0.000
0.667 0.333 0.282
0.333 0.667 0.718
0.000 0.000 0.500
```

Output
SG ... No. 164
Uncorrected energy ... -4.49 eV/atom
Fermi-level density of states ... 0.72 states/eV per atom
E_form ... -737 meV/atom

---

No. 6
Computed, not measured: Ba2Ge4Pt3Au after structural relaxation at the GGA-PBE level of DFT.

Structure (POSCAR):
```
Ba2Ge4Pt3Au
1.0
4.592 0.000 0.000
0.000 4.592 0.000
0.000 0.000 10.331
Pt Ge Au Ba
3 4 1 2
direct
0.500 0.000 0.882
0.000 0.000 0.500
0.000 0.500 0.118
0.500 0.000 0.628
0.000 0.500 0.372
0.000 0.000 0.000
0.500 0.500 0.000
0.500 0.500 0.500
0.000 0.500 0.754
0.500 0.000 0.246
```

Output
SG ... No. 115
Uncorrected energy ... -5.07 eV/atom
Fermi-level density of states ... 0.36 states/eV per atom
E_form ... -697 meV/atom

---

No. 7
Computed, not measured: Ba2GePtAu after structural relaxation at the GGA-PBE level of DFT.

Structure (POSCAR):
```
Ba2GePtAu
1.0
6.222 0.000 0.000
0.000 6.222 0.000
0.000 0.000 4.676
Ba Au Ge Pt
2 1 1 1
direct
0.500 0.000 0.000
0.000 0.500 0.000
0.500 0.500 0.500
0.000 0.000 0.500
0.000 0.000 0.000
```

Output
SG ... No. 123
Uncorrected energy ... -4.13 eV/atom
Fermi-level density of states ... 0.67 states/eV per atom
E_form ... -577 meV/atom

---

No. 8
Computed, not measured: Ba2Ge4PtAu3 after structural relaxation at the GGA-PBE level of DFT.

Structure (POSCAR):
```
Ba2Ge4PtAu3
1.0
4.673 0.000 0.000
0.000 4.673 0.000
0.000 0.000 10.561
Ge Au Pt Ba
4 3 1 2
direct
0.000 0.000 0.000
0.500 0.000 0.616
0.500 0.500 0.000
0.000 0.500 0.384
0.500 0.000 0.872
0.000 0.000 0.500
0.000 0.500 0.128
0.500 0.500 0.500
0.000 0.500 0.749
0.500 0.000 0.251
```

Output
SG ... No. 115
Uncorrected energy ... -4.36 eV/atom
Fermi-level density of states ... 0.62 states/eV per atom
E_form ... -539 meV/atom

---

No. 9
Computed, not measured: Ba2PuGe3Au12 after structural relaxation at the GGA-PBE level of DFT.

Structure (POSCAR):
```
Ba2PuGe3Au12
1.0
8.578 -0.331 -0.235
3.949 7.622 -0.235
3.949 2.298 7.271
Au Ge Ba Pu
12 3 2 1
direct
0.612 0.135 0.135
0.388 0.865 0.865
0.679 0.145 0.679
0.135 0.612 0.135
0.855 0.321 0.321
0.865 0.388 0.865
0.321 0.855 0.321
0.135 0.135 0.612
0.679 0.679 0.145
0.321 0.321 0.855
0.865 0.865 0.388
0.145 0.679 0.679
0.500 0.000 0.000
0.000 0.000 0.500
0.000 0.500 0.000
0.396 0.396 0.396
0.604 0.604 0.604
0.000 0.000 0.000
```

Output
SG ... No. 166
Uncorrected energy ... -4.06 eV/atom
Fermi-level density of states ... 1.09 states/eV per atom
E_form ... -93 meV/atom

---

No. 10
Computed, not measured: BaGeRu2Au after structural relaxation at the GGA-PBE level of DFT.

Structure (POSCAR):
```
BaGeRu2Au
1.0
-4.448 0.187 2.387
-2.299 -3.291 -4.026
1.250 -4.115 2.650
Ba Au Ge Ru
1 1 1 2
direct
0.000 0.000 0.000
0.000 0.500 0.000
0.500 0.500 0.500
0.500 0.000 0.000
0.000 0.000 0.500
```

Output
SG ... No. 123
Uncorrected energy ... -3.52 eV/atom
Fermi-level density of states ... 1.11 states/eV per atom
E_form ... 2159 meV/atom

---

No. 11
Computed, not measured: BaGeAuS2 after structural relaxation at the GGA-PBE level of DFT.

Structure (POSCAR):
```
BaGeAuS2
1.0
-0.965 -2.227 -5.139
1.540 -5.119 1.929
-5.568 -1.101 1.523
Ge Au S Ba
1 1 2 1
direct
0.500 0.500 0.500
0.000 0.000 0.500
0.000 0.500 0.000
0.500 0.000 0.000
0.000 0.000 0.000
```

Output
Energy relative to the elements, uncorrected ... 0.650 eV/atom
SG ... No. 123
Uncorrected energy ... -2.96 eV/atom
Fermi-level density of states ... 0.90 states/eV per atom

---

No. 12
Computed, not measured: BaGeSbAu3 after structural relaxation at the GGA-PBE level of DFT.

Structure (POSCAR):
```
BaGeSbAu3
1.0
7.539 0.000 0.000
0.000 7.137 0.000
0.000 -3.568 6.129
Sb Au Ge Ba
2 6 2 2
direct
0.250 0.396 0.792
0.750 0.604 0.208
0.000 0.261 0.000
0.250 0.178 0.356
0.500 0.739 0.000
0.500 0.261 0.000
0.750 0.822 0.644
0.000 0.739 0.000
0.250 0.974 0.948
0.750 0.026 0.052
0.750 0.295 0.590
0.250 0.705 0.410
```

Output
Energy relative to the elements, uncorrected ... -0.365 eV/atom
SG ... No. 63
Uncorrected energy ... -3.78 eV/atom
Fermi-level density of states ... 0.31 states/eV per atom

---

> Number 3 is which compound?

BaPmGeAu

---

> What is the formula in the fourth record?

Ba2PrGe3Au12

---

> Which of these has the lowest Fermi-level density of states?

BaPmGeAu

---

> What is the uncorrected energy in the second record?

-3.59 eV/atom